# K2TbPrS4, relaxed, DFT PBE
# * formation energy from raw total energies: -1.86 eV per atom
# * final energy: -5.37 eV/atom
data_K2TbPrS4
_chemical_formula_sum 'K2 Tb1 Pr1 S4'
_cell_length_a 7.1923
_cell_length_b 4.1502
_cell_length_c 7.7721
_cell_angle_alpha 90.00
_cell_angle_beta 107.95
_cell_angle_gamma 90.00
_space_group_name_H-M_alt 'P 1'
_space_group_IT_number 1
loop_
_space_group_symop_operation_xyz
'x,y,z'
loop_
_atom_site_label
_atom_site_type_symbol
_atom_site_fract_x
_atom_site_fract_y
_atom_site_fract_z
K1 K 0.0000 0.0000 0.0000
K2 K 0.5000 0.5000 0.0000
Tb1 Tb 0.0000 0.5000 0.5000
Pr1 Pr 0.5000 0.0000 0.5000
S1 S 0.2267 0.0000 0.7037
S2 S 0.2560 0.5000 0.2928
S3 S 0.7440 0.5000 0.7072
S4 S 0.7733 0.0000 0.2963